Entry 1:
MnReAs2 | PBE | optimized geometry

The structure in POSCAR format:
```
MnReAs2
1.0
0.0000 3.0329 3.0329
3.0329 0.0000 3.0329
3.0329 3.0329 0.0000
Re As Mn
1 2 1
Cartesian
3.0329 3.0329 3.0329 Re
4.5493 4.5493 4.5493 As
1.5164 1.5164 1.5164 As
0.0000 0.0000 0.0000 Mn
```

Calculated values
crystal system = cubic
total magnetization = 0.6 μB/f.u.
energy above the lowest structure with this stoichiometry = 150 meV/atom
symmetry = No. 225
E_form = 0.206 eV/atom

---

Entry 2:
ZrTcCl2 | PBE | optimized geometry

The structure in POSCAR format:
```
ZrTcCl2
1.0
-1.0201 -5.5667 -0.1999
5.5574 -1.0033 -0.4217
2.6192 -3.5366 4.9084
Cl Zr Tc
4 2 2
Cartesian
0.6847 -4.6371 1.0441 Cl
3.5177 -5.0895 3.4594 Cl
6.0827 -8.4279 3.1262 Cl
4.0278 -2.0586 0.9439 Cl
5.2226 -3.9124 2.0880 Zr
2.2686 -3.2850 -0.3108 Zr
1.9339 -6.1941 2.1989 Tc
0.0000 0.0000 0.0000 Tc
```

Calculated values
crystal system = tetragonal
total magnetization = 0.0 μB/f.u.
energy above the lowest structure with this stoichiometry = 876 meV/atom
formation energy without anion corrections = 321 meV per atom
symmetry = No. 122

---

Entry 3:
Sr2CdSi4Pt3 | PBE | optimized geometry

The structure in POSCAR format:
```
Sr2CdSi4Pt3
1.0
4.3448 0.0000 0.0000
0.0000 4.3448 0.0000
0.0000 0.0000 10.2626
Si Cd Sr Pt
4 1 2 3
Cartesian
0.0000 2.1724 3.6397 Si
0.0000 0.0000 0.0000 Si
2.1724 0.0000 6.6229 Si
2.1724 2.1724 0.0000 Si
2.1724 2.1724 5.1313 Cd
2.1724 0.0000 2.5017 Sr
0.0000 2.1724 7.7609 Sr
0.0000 2.1724 1.1826 Pt
0.0000 0.0000 5.1313 Pt
2.1724 0.0000 9.0801 Pt
```

Calculated values
crystal system = tetragonal
total magnetization = 0.0 μB/f.u.
formation energy without anion corrections = -744 meV per atom
symmetry = No. 115

---

Entry 4:
ZrMnCl | PBE | optimized geometry

The structure in POSCAR format:
```
ZrMnCl
1.0
4.3052 0.0000 0.0000
2.1526 3.7284 0.0000
2.1526 1.2428 3.5152
Mn Cl Zr
1 1 1
Cartesian
0.0000 0.0000 0.0000 Mn
6.4578 3.7284 2.6364 Cl
4.3052 2.4856 1.7576 Zr
```

Calculated values
crystal system = cubic
total magnetization = 3.6 μB/f.u.
formation energy without anion corrections = 296 meV per atom
symmetry = No. 216

---

Entry 5:
La6Tb5Dy2 | PBE | optimized geometry

The structure in POSCAR format:
```
La6Tb5Dy2
1.0
-1.2379 -2.5984 2.2509
4.7293 -8.2862 -6.9645
17.8563 0.9835 10.9554
Tb La Dy
10 12 4
Cartesian
4.1943 -7.8828 -3.8275 Tb
17.4730 -8.0506 3.2814 Tb
12.6370 -6.5404 2.3652 Tb
7.0642 -5.9482 -0.0159 Tb
14.2835 -3.9530 6.2576 Tb
8.7108 -3.3607 3.8765 Tb
17.1534 -2.0183 10.0692 Tb
3.8747 -1.8505 2.9603 Tb
8.3092 -0.8075 6.6031 Tb
1.7457 -5.4423 -2.3568 Tb
6.9463 -0.3216 3.4489 La
10.1444 -4.2313 0.6944 La
17.4599 -2.6076 6.5919 La
12.4413 -3.0714 3.2965 La
15.6394 -6.9812 0.5419 La
5.1258 -4.6952 -2.6011 La
3.3499 -3.8718 0.3384 La
1.7203 -0.4219 0.4590 La
9.7941 -7.7902 -0.6410 La
17.9979 -6.0294 5.9033 La
20.8654 -6.8808 3.5318 La
11.5537 -2.1110 6.8827 La
15.8166 -4.8098 3.1459 Dy
7.6952 -6.7152 -3.5200 Dy
6.7691 -2.4929 0.8449 Dy
14.8904 -0.5875 7.5108 Dy
```

Calculated values
crystal system = orthorhombic
total magnetization = 0.0 μB/f.u.
symmetry = No. 55
E_form = 0.108 eV/atom

---

Entry 6:
CeThCo | PBE | optimized geometry

The structure in POSCAR format:
```
CeThCo
1.0
-5.7856 -3.4678 -2.0195
2.1627 -5.3588 3.0062
-1.8417 -0.8515 6.7384
Co Th Ce
4 4 4
Cartesian
-4.7448 -6.7306 1.8194 Co
-0.7198 -2.9474 5.9057 Co
-3.3469 -5.7665 5.9980 Co
-2.1178 -3.9116 1.7271 Co
-4.3481 -4.1320 3.2432 Th
-1.1165 -5.5461 4.4819 Th
-1.0461 -5.3777 8.1971 Th
-4.4185 -4.3004 -0.4720 Th
-4.2387 -7.5339 4.2398 Ce
-2.1732 -6.4221 1.2702 Ce
-1.2260 -2.1442 3.4853 Ce
-3.2915 -3.2560 6.4550 Ce
```

Calculated values
crystal system = monoclinic
total magnetization = 0.0 μB/f.u.
energy above the lowest structure with this stoichiometry = 60 meV/atom
symmetry = No. 14
E_form = -0.086 eV/atom

---

Entry 7:
PuNiH8Rh4 | PBE | optimized geometry

The structure in POSCAR format:
```
PuNiH8Rh4
1.0
5.6806 0.0000 0.0000
2.8403 4.9195 0.0000
2.8403 1.6398 4.4234
H Rh Pu Ni
8 4 1 1
Cartesian
2.8403 1.6398 1.5377 H
3.8513 2.2235 3.2218 H
5.6806 5.3919 3.2218 H
7.5098 2.2235 3.2218 H
4.1419 4.1680 1.0354 H
5.6806 1.5030 1.0354 H
8.5208 4.9195 3.2830 H
7.2192 4.1680 1.0354 H
9.9121 5.7228 2.2142 Rh
7.1296 5.7228 2.2142 Rh
5.6806 3.2797 0.6890 Rh
8.5208 3.3130 2.2142 Rh
5.6806 3.2797 3.7827 Pu
8.5208 4.9195 0.0455 Ni
```

Calculated values
crystal system = trigonal
total magnetization = 4.9 μB/f.u.
symmetry = No. 160

---

Entry 8:
Y2Er3Mg3 | PBE | optimized geometry

The structure in POSCAR format:
```
Y2Er3Mg3
1.0
-3.3023 1.5624 -0.8268
-2.2878 -2.6639 4.1040
5.1137 9.0577 5.1758
Er Y Mg
3 2 3
Cartesian
-2.2157 1.5749 3.3413 Er
1.7392 6.3813 5.1117 Er
-1.6512 0.7812 -0.4134 Er
-0.5655 4.7647 2.7775 Y
0.0889 3.1915 5.6755 Y
0.5368 1.9695 1.5777 Mg
-1.1439 -1.3320 2.0520 Mg
-1.0133 5.9866 6.8753 Mg
```

Calculated values
crystal system = orthorhombic
total magnetization = 0.0 μB/f.u.
symmetry = No. 71
E_form = -0.050 eV/atom

---

Results for DOS(E_F): 2.68; 6.32; 3.58; 1.87; 35.70; 17.06; 19.75; 9.65 (in states/eV/cell, following the order of the records).
Results for E_tot: -7.52; -5.33; -5.15; -6.23; -4.66; -6.91; -5.57; -3.98 (in eV/atom, following the order of the records).